# AcLaTbY2 PBE-GGA relaxed
data_AcLaTbY2
_cell_length_a 6.437
_cell_length_b 5.922
_cell_length_c 9.907
_cell_angle_alpha 90.00
_cell_angle_beta 108.83
_cell_angle_gamma 90.00
_symmetry_space_group_name_H-M 'P 1 21/m 1'
_symmetry_Int_Tables_number 11
loop_
_symmetry_equiv_pos_as_xyz
'x,y,z'
'-x,-y,-z'
'-x,y+1/2,-z'
'x,-y+1/2,z'
loop_
_atom_site_label
_atom_site_type_symbol
_atom_site_fract_x
_atom_site_fract_y
_atom_site_fract_z
_atom_site_occupancy
Ac1 Ac 0.071 0.250 0.304 1
La1 La 0.137 0.750 0.097 1
Tb1 Tb 0.336 0.750 0.502 1
Y1 Y 0.276 0.250 0.703 1
Y2 Y 0.468 0.250 0.098 1
# * energy of formation: 39 meV per atom

# MgIn2Cu PBE-GGA relaxed
data_MgIn2Cu
_cell_length_a 4.262
_cell_length_b 4.368
_cell_length_c 4.384
_cell_angle_alpha 90.00
_cell_angle_beta 90.00
_cell_angle_gamma 90.00
_symmetry_space_group_name_H-M 'P m m m'
_symmetry_Int_Tables_number 47
loop_
_symmetry_equiv_pos_as_xyz
'x,y,z'
'-x,-y,-z'
'-x,-y,z'
'x,y,-z'
'x,-y,-z'
'-x,y,z'
'-x,y,-z'
'x,-y,z'
loop_
_atom_site_label
_atom_site_type_symbol
_atom_site_fract_x
_atom_site_fract_y
_atom_site_fract_z
_atom_site_occupancy
Mg1 Mg 0.000 0.000 0.000 1
In1 In 0.500 0.000 0.500 1
In2 In 0.500 0.500 0.000 1
Cu1 Cu 0.000 0.500 0.500 1
# * energy of formation: 43 meV per atom

# MnReW2 PBE-GGA relaxed
data_MnReW2
_cell_length_a 4.370
_cell_length_b 4.370
_cell_length_c 3.129
_cell_angle_alpha 90.00
_cell_angle_beta 90.00
_cell_angle_gamma 90.00
_symmetry_space_group_name_H-M 'P 4/m m m'
_symmetry_Int_Tables_number 123
_symmetry_space_group_name_Hall '-P 4 2'
loop_
_atom_site_label
_atom_site_type_symbol
_atom_site_fract_x
_atom_site_fract_y
_atom_site_fract_z
_atom_site_occupancy
Mn1 Mn 0.000 0.000 0.000 1
Re1 Re 0.500 0.500 0.000 1
W1 W 0.000 0.500 0.500 1
# * energy of formation: 108 meV per atom

# SmEr6Tm3Th2 PBE-GGA relaxed
data_SmEr6Tm3Th2
_cell_length_a 6.127
_cell_length_b 10.601
_cell_length_c 11.644
_cell_angle_alpha 90.00
_cell_angle_beta 100.08
_cell_angle_gamma 90.00
_symmetry_space_group_name_H-M 'C 1 2/m 1'
_symmetry_Int_Tables_number 12
loop_
_symmetry_equiv_pos_as_xyz
'x,y,z'
'-x,-y,-z'
'-x,y,-z'
'x,-y,z'
'x+1/2,y+1/2,z'
'-x+1/2,-y+1/2,-z'
'-x+1/2,y+1/2,-z'
'x+1/2,-y+1/2,z'
loop_
_atom_site_label
_atom_site_type_symbol
_atom_site_fract_x
_atom_site_fract_y
_atom_site_fract_z
_atom_site_occupancy
Sm1 Sm 0.000 0.000 0.000 1
Er1 Er 0.246 0.500 0.250 1
Er2 Er 0.248 0.331 0.750 1
Tm1 Tm 0.000 0.166 0.500 1
Tm2 Tm 0.000 0.500 0.500 1
Th1 Th 0.000 0.333 0.000 1
# * energy of formation: 33 meV per atom

# Li2Sn4Pb PBE-GGA relaxed
data_Li2Sn4Pb
_cell_length_a 6.296
_cell_length_b 9.894
_cell_length_c 11.244
_cell_angle_alpha 90.00
_cell_angle_beta 90.00
_cell_angle_gamma 90.00
_symmetry_space_group_name_H-M 'F m m m'
_symmetry_Int_Tables_number 69
_symmetry_space_group_name_Hall '-F 2 2'
loop_
_atom_site_label
_atom_site_type_symbol
_atom_site_fract_x
_atom_site_fract_y
_atom_site_fract_z
_atom_site_occupancy
Li1 Li 0.000 0.000 0.221 1
Sn1 Sn 0.000 0.165 0.000 1
Sn2 Sn 0.250 0.250 0.250 1
Pb1 Pb 0.000 0.000 0.500 1
# * energy of formation: -89 meV per atom

# Tb2Er2InGa4 PBE-GGA relaxed
data_Tb2Er2InGa4
_cell_length_a 7.073
_cell_length_b 7.073
_cell_length_c 9.167
_cell_angle_alpha 90.00
_cell_angle_beta 90.00
_cell_angle_gamma 90.00
_symmetry_space_group_name_H-M 'I 4/m m m'
_symmetry_Int_Tables_number 139
_symmetry_space_group_name_Hall '-I 4 2'
loop_
_atom_site_label
_atom_site_type_symbol
_atom_site_fract_x
_atom_site_fract_y
_atom_site_fract_z
_atom_site_occupancy
Tb1 Tb 0.000 0.000 0.186 1
Er1 Er 0.000 0.500 0.250 1
In1 In 0.000 0.000 0.500 1
Ga1 Ga 0.238 0.238 0.000 1
# * energy of formation: -137 meV per atom

Look up the energy of formation of the second one. 43 meV per atom

Among the records above, which one has the highest energy of formation? MnReW2

Among the records above, which one has the highest energy of formation? MnReW2

Look up the energy of formation of the third one. 108 meV per atom